No. 1
Here is KSi2Te at its PBEsol-relaxed geometry from Alexandria. Energies are from meta-GGA SCAN.

Computed properties:
* space-group type: Imm2 (44)
* formation energy from raw total energies: 313 meV/atom
* final energy: -16.0900 eV per atom
* magnetic moment: 0.00 Bohr magnetons per cell

Cell: 3.4949 6.0165 6.0165 Å, 60.50 73.12 73.12°
With the nearest neighbours (Å) after each atom.
Positions (direct):
Si  0.0647  0.9353  0.9353  2 Si 2.39
Si  0.7316  0.7684  0.7684  2 Si 2.39
Te  0.4414  0.5586  0.5586  2 Si 2.70
K  0.2622  0.2378  0.2378  8 Si 3.44-3.60, 2 K 3.49, 4 Te 3.50-3.59

No. 2
Here is KTlSi3 at its PBEsol-relaxed geometry from Alexandria. Energies are from meta-GGA SCAN.

Computed properties:
* space-group type: Pm-3m (221)
* formation energy from raw total energies: 1195 meV/atom
* final energy: -20.9523 eV per atom
* magnetic moment: 0.00 Bohr magnetons per cell

Cell: 5.3215 5.3215 5.3215 Å, 90.00 90.00 90.00°
With the nearest neighbours (Å) after each atom.
Positions (direct):
Tl  0.0000  0.0000  0.0000  6 Si 2.66
Si  0.5000  0.0000  0.0000  2 Tl 2.66
Si  0.0000  0.5000  0.0000  2 Tl 2.66
Si  0.0000  0.0000  0.5000  2 Tl 2.66
K  0.5000  0.5000  0.5000  12 Si 3.76

No. 3
Here is KSi2W at its PBEsol-relaxed geometry from Alexandria. Energies are from meta-GGA SCAN.

Computed properties:
* space-group type: I-4m2 (119)
* formation energy from raw total energies: 1466 meV/atom
* final energy: -23.0464 eV per atom
* magnetic moment: 0.00 Bohr magnetons per cell

Cell: 3.9365 3.9365 5.3214 Å, 111.71 111.71 90.00°
With the nearest neighbours (Å) after each atom.
Positions (direct):
Si  0.0000  0.0000  0.0000  4 W 2.78, 4 K 3.00, 4 Si 3.00
Si  0.7500  0.2500  0.5000  4 K 2.78, 4 W 3.00, 4 Si 3.00
W  0.5000  0.5000  0.0000  8 Si 2.78-3.00, 4 K 3.00
K  0.2500  0.7500  0.5000  8 Si 2.78-3.00, 4 W 3.00